Density functional theory data (GGA-PBE) for a relaxed structure of Ac4SnTe2.

VASP energy (eV per atom): -4.824
E_form (uncorrected) (eV/f.u.): -7.0
Total magnetization (μB/f.u.): 0.0
Fermi-level density of states (states/eV/cell): 21.1

CIF file:
```
data_Ac4SnTe2
_chemical_formula_sum 'Ac16 Sn4 Te8'
_space_group_name_H-M_alt 'C m c m'
_space_group_IT_number 63
_space_group_name_Hall '-C 2c 2'
_cell_length_a 4.6335
_cell_length_b 14.8866
_cell_length_c 16.2813
_cell_angle_alpha 90.00
_cell_angle_beta 90.00
_cell_angle_gamma 90.00
loop_
_atom_site_label
_atom_site_type_symbol
_atom_site_fract_x
_atom_site_fract_y
_atom_site_fract_z
Ac1 Ac 0.0000 0.0000 0.0000
Ac2 Ac 0.0000 0.2918 0.1309
Ac3 Ac 0.0000 0.4340 0.7500
Sn1 Sn 0.0000 0.0963 0.7500
Te1 Te 0.0000 0.3538 0.5630
```